PBE Cs8HAu6, relaxed; D(E_F) = 6.6 states/eV/f.u.; E = -2.267 eV per atom; calculated volume = 695.0 Å³/cell; M_tot = 0.000 μB per atom
1.0
-4.505 7.452 3.051
-8.560 -0.332 -3.428
-5.609 -2.735 6.797
Au Cs H
6 8 1
direct
0.048 0.480 0.665
0.480 0.665 0.048
0.335 0.952 0.520
0.665 0.048 0.480
0.952 0.520 0.335
0.520 0.335 0.952
0.330 0.101 0.839
0.161 0.670 0.899
0.650 0.650 0.650
0.350 0.350 0.350
0.670 0.899 0.161
0.899 0.161 0.670
0.839 0.330 0.101
0.101 0.839 0.330
0.000 0.000 0.000